[1]
Li2CuW | PBE-GGA | relaxed

Properties
The energy above the most stable polymorph in this dataset is 1.71 eV/f.u. The total DFT energy (no corrections) comes out at -4.531 eV per atom. The calculation puts the formation enthalpy at 0 K at 0.69 eV per atom. The size of the total moment is 0.8 μB/f.u. As for the space-group type: P4/mmm, No. 123.

Unit cell a=4.5100 b=3.5631 c=3.5631 alpha=90.00 beta=90.00 gamma=90.00
Site moments in Bohr magnetons follow the coordinates.
Sites, in units of the cell vectors:
W (0.5000, 0.5000, 0.0000)  0.41
Cu (0.5000, 0.0000, 0.5000)  0.14
Li (0.0000, 0.5000, 0.5000)  0.01
Li (0.0000, 0.0000, 0.0000)  0.01

[2]
FePPtCl2 | PBE-GGA | relaxed

Properties
The energy above the most stable polymorph in this dataset is 0.18 eV/f.u. The total DFT energy (no corrections) comes out at -4.032 eV per atom. Its raw formation energy is 0.6891 eV/atom. The size of the total moment is 0.0 μB/f.u. As for the space-group type: P4/mmm, No. 123.

Unit cell a=4.5112 b=4.5112 c=4.3873 alpha=90.00 beta=90.00 gamma=90.00
Sites, in units of the cell vectors:
Pt (0.5000, 0.5000, 0.5000)
Cl (0.0000, 0.5000, 0.0000)
Cl (0.5000, 0.0000, 0.0000)
P (0.0000, 0.0000, 0.5000)
Fe (0.0000, 0.0000, 0.0000)

[3]
Sm2HgO4 | PBE-GGA | relaxed

Properties
The total DFT energy (no corrections) comes out at -6.802 eV per atom. Its raw formation energy is -2.5768 eV/atom. The size of the total moment is 0.0 μB/f.u. As for the space-group type: C2/m, No. 12.

Unit cell a=7.1987 b=7.1987 c=10.2736 alpha=59.70 beta=59.70 gamma=30.36
Sites, in units of the cell vectors:
Hg (0.1144, 0.1144, 0.8387)
Hg (0.8856, 0.8856, 0.1613)
Sm (0.6195, 0.6195, 0.5393)
Sm (0.3805, 0.3805, 0.4607)
Sm (0.8411, 0.8411, 0.7989)
Sm (0.1589, 0.1589, 0.2011)
O (0.2296, 0.2296, 0.3887)
O (0.4191, 0.4191, 0.6533)
O (0.7963, 0.7963, 0.0567)
O (0.0359, 0.0359, 0.7196)
O (0.2037, 0.2037, 0.9433)
O (0.9641, 0.9641, 0.2804)
O (0.5809, 0.5809, 0.3467)
O (0.7704, 0.7704, 0.6113)

[4]
HfThMg | PBE-GGA | relaxed

Properties
The energy above the most stable polymorph in this dataset is 0.00 eV/f.u. The total DFT energy (no corrections) comes out at -6.206 eV per atom. The calculation puts the formation enthalpy at 0 K at 0.12 eV per atom. The size of the total moment is 0.0 μB/f.u. As for the space-group type: I4mm, No. 107.

Unit cell a=3.2532 b=3.2532 c=7.7261 alpha=102.15 beta=102.15 gamma=90.00
Sites, in units of the cell vectors:
Th (0.0068, 0.0068, 0.0136)
Hf (0.6708, 0.6708, 0.3417)
Mg (0.3224, 0.3224, 0.6448)

[5]
Y4GaIr2 | PBE-GGA | relaxed

Properties
The energy above the most stable polymorph in this dataset is 0.00 eV/f.u. The total DFT energy (no corrections) comes out at -7.354 eV per atom. The calculation puts the formation enthalpy at 0 K at -0.70 eV per atom. The size of the total moment is 0.0 μB/f.u. As for the space-group type: R-3m, No. 166.

Unit cell a=4.8952 b=4.8952 c=8.4381 alpha=73.14 beta=73.14 gamma=60.00
Sites, in units of the cell vectors:
Ga (0.0000, 0.0000, 0.0000)
Ir (0.7487, 0.7487, 0.7540)
Ir (0.2513, 0.2513, 0.2460)
Y (0.6200, 0.6200, 0.1401)
Y (0.3800, 0.3800, 0.8599)
Y (0.1285, 0.1285, 0.6146)
Y (0.8715, 0.8715, 0.3854)

[6]
LaCuSe2 | PBE-GGA | relaxed

Properties
The total DFT energy (no corrections) comes out at -5.197 eV per atom. Its raw formation energy is -1.1992 eV/atom. The size of the total moment is 0.0 μB/f.u. As for the space-group type: C2/m, No. 12.

Unit cell a=4.5242 b=4.5242 c=6.5540 alpha=88.84 beta=88.84 gamma=59.65
Sites, in units of the cell vectors:
Se (0.0710, 0.0710, 0.9824)
Se (0.4290, 0.4290, 0.5176)
La (0.7500, 0.7500, 0.7500)
Cu (0.2500, 0.2500, 0.2500)